No. 1
A geometry-optimized KMgTl2Co structure, computed with PBE.

Structure (extended XYZ):
```
5
Lattice="5.1353 0.0000 0.0000 0.0000 5.1353 0.0000 0.0000 0.0000 5.0560" Properties=species:S:1:pos:R:3 pbc="T T T"
Co 0.0000 0.0000 0.0000
Tl 2.5676 0.0000 0.0000
Tl 0.0000 2.5676 0.0000
Mg 0.0000 0.0000 2.5280
K 2.5676 2.5676 2.5280
```

Its density of states at the Fermi level is 2.53 states/eV/cell. As for the crystal system: tetragonal. For the total magnetization, the calculation gives 0.00 μB/f.u. The value obtained for the total energy is -2.837 eV per atom.



No. 2
A geometry-optimized KMg2CoW structure, computed with PBE.

Structure (extended XYZ):
```
5
Lattice="4.9500 0.0000 0.0000 0.0000 5.2258 0.0000 0.0000 0.0000 4.9500" Properties=species:S:1:pos:R:3 pbc="T T T"
Mg 0.0000 0.0000 2.4750
Mg 2.4750 0.0000 0.0000
Co 0.0000 0.0000 0.0000
K 0.0000 2.6129 0.0000
W 2.4750 2.6129 2.4750
```

Its density of states at the Fermi level is 3.05 states/eV/cell. As for the crystal system: tetragonal. For the total magnetization, the calculation gives 5.29 μB/f.u. The value obtained for the total energy is -3.222 eV per atom.



No. 3
A geometry-optimized KMn2Co structure, computed with PBE.

Structure (extended XYZ):
```
4
Lattice="-3.1993 -0.6299 3.7654 3.8040 -0.9419 3.0746 0.1882 2.8253 0.6326" Properties=species:S:1:pos:R:3 pbc="T T T"
Mn 0.3024 -0.7859 3.4200
Mn 0.0000 0.0000 0.0000
Co -1.5055 1.0977 2.1990
K 1.9961 0.9417 1.8536
```

The calculation puts the distance to the lowest polymorph of the same formula at 265 kJ/mol of formula units. Its density of states at the Fermi level is 5.61 states/eV/cell. As for the crystal system: tetragonal. For the total magnetization, the calculation gives 9.52 μB/f.u. The value obtained for the total energy is -5.375 eV per atom.



No. 4
A geometry-optimized KMnCo2 structure, computed with PBE.

Structure (extended XYZ):
```
4
Lattice="4.5142 0.0005 0.0859 3.6242 2.6913 0.0859 0.5215 0.1725 6.7833" Properties=species:S:1:pos:R:3 pbc="T T T"
Co 4.4401 1.4686 2.6378
Co 8.0282 2.6553 1.0117
K 6.4949 2.1482 5.2164
Mn 2.1650 0.7161 1.7388
```

The calculation puts the distance to the lowest polymorph of the same formula at 34 kJ/mol of formula units. Its density of states at the Fermi level is 4.99 states/eV/cell. As for the crystal system: monoclinic. For the total magnetization, the calculation gives 6.99 μB/f.u. The value obtained for the total energy is -5.404 eV per atom.



No. 5
A geometry-optimized KMn2Co structure, computed with PBE.

Structure (extended XYZ):
```
4
Lattice="-2.3441 -3.2655 1.2246 -1.0376 -3.8844 -1.2217 5.5500 -3.3266 3.8057" Properties=species:S:1:pos:R:3 pbc="T T T"
Mn 1.7395 -5.4493 2.3077
Mn 4.8947 -3.1155 3.4023
K 0.5421 -2.6191 0.9522
Co 1.6263 -7.8574 2.8565
```

The calculation puts the distance to the lowest polymorph of the same formula at 47 kJ/mol of formula units. Its density of states at the Fermi level is 2.34 states/eV/cell. As for the crystal system: monoclinic. For the total magnetization, the calculation gives 9.12 μB/f.u. The value obtained for the total energy is -5.939 eV per atom.



No. 6
A geometry-optimized KMn2Co structure, computed with PBE.

Structure (extended XYZ):
```
4
Lattice="-3.5787 0.1676 -0.0752 -0.1977 -4.4631 -0.5396 -0.1190 -0.5347 4.4665" Properties=species:S:1:pos:R:3 pbc="T T T"
K -1.8488 -0.1836 2.1956
Co -1.8882 -2.1478 -0.3074
Mn 0.0000 0.0000 0.0000
Mn -0.1583 -2.4989 1.9635
```

The calculation puts the distance to the lowest polymorph of the same formula at 269 kJ/mol of formula units. Its density of states at the Fermi level is 3.55 states/eV/cell. As for the crystal system: tetragonal. For the total magnetization, the calculation gives 9.45 μB/f.u. The value obtained for the total energy is -5.364 eV per atom.



No. 7
A geometry-optimized KMnCo3 structure, computed with PBE.

Structure (extended XYZ):
```
5
Lattice="-3.9358 -1.6491 -1.1586 0.7704 -3.5799 2.4786 -1.8624 2.0043 3.4738" Properties=species:S:1:pos:R:3 pbc="T T T"
Mn -2.5139 -1.6124 2.3969
K 0.0000 0.0000 0.0000
Co -0.9312 1.0022 1.7369
Co -1.9679 -0.8246 -0.5793
Co 0.3852 -1.7900 1.2393
```

The calculation puts the distance to the lowest polymorph of the same formula at 602 kJ/mol of formula units. Its density of states at the Fermi level is 12.54 states/eV/cell. As for the crystal system: cubic. For the total magnetization, the calculation gives 1.06 μB/f.u. The value obtained for the total energy is -3.840 eV per atom.



No. 8
A geometry-optimized K2MnCo structure, computed with PBE.

Structure (extended XYZ):
```
4
Lattice="-6.2365 -0.9140 0.9988 -2.0457 -5.6376 -2.1816 4.0132 2.8053 4.0928" Properties=species:S:1:pos:R:3 pbc="T T T"
K -8.0186 -6.3431 -1.1452
K -1.3035 -3.2255 0.6290
Co -2.5925 -0.2258 2.3343
Mn -4.7776 -3.7793 -0.6823
```

The calculation puts the distance to the lowest polymorph of the same formula at 76 kJ/mol of formula units. Its density of states at the Fermi level is 5.65 states/eV/cell. As for the crystal system: orthorhombic. For the total magnetization, the calculation gives 4.90 μB/f.u. The value obtained for the total energy is -3.754 eV per atom.



No. 9
A geometry-optimized KMnCo2 structure, computed with PBE.

Structure (extended XYZ):
```
4
Lattice="-2.2767 -0.6657 -1.2952 0.7547 -4.7669 1.1235 -2.5075 0.5725 4.1135" Properties=species:S:1:pos:R:3 pbc="T T T"
Co 0.0000 0.0000 0.0000
Co -0.7610 -2.7163 -0.0858
Mn -0.8764 -2.0972 2.6185
K -2.3921 -0.0466 1.4092
```

The calculation puts the distance to the lowest polymorph of the same formula at 239 kJ/mol of formula units. Its density of states at the Fermi level is 5.02 states/eV/cell. As for the crystal system: orthorhombic. For the total magnetization, the calculation gives 6.86 μB/f.u. The value obtained for the total energy is -4.873 eV per atom.



No. 10
A geometry-optimized KMn2Co structure, computed with PBE.

Structure (extended XYZ):
```
4
Lattice="-5.0899 -1.9059 -2.4935 0.2720 -1.7581 -5.7090 1.3544 -0.5750 5.7959" Properties=species:S:1:pos:R:3 pbc="T T T"
Mn -2.6695 -2.0302 -4.5448
Mn -4.5574 -3.4659 -7.7589
K -0.3913 -2.0826 -2.0072
Co -3.0722 -2.1565 -0.3994
```

The calculation puts the distance to the lowest polymorph of the same formula at 138 kJ/mol of formula units. Its density of states at the Fermi level is 2.95 states/eV/cell. As for the crystal system: orthorhombic. For the total magnetization, the calculation gives 9.42 μB/f.u. The value obtained for the total energy is -5.705 eV per atom.



No. 11
A geometry-optimized KMn2Co structure, computed with PBE.

Structure (extended XYZ):
```
4
Lattice="5.6754 0.2683 0.2147 -2.8837 4.8955 0.2147 0.4746 0.8778 2.5326" Properties=species:S:1:pos:R:3 pbc="T T T"
Mn 0.0000 0.0000 0.0000
Mn 1.3958 2.5819 0.2147
K -1.2046 2.8867 1.3736
Co 3.0750 0.5731 1.3736
```

The calculation puts the distance to the lowest polymorph of the same formula at 227 kJ/mol of formula units. Its density of states at the Fermi level is 3.36 states/eV/cell. As for the crystal system: monoclinic. For the total magnetization, the calculation gives 9.03 μB/f.u. The value obtained for the total energy is -5.473 eV per atom.



No. 12
A geometry-optimized KMn2Co structure, computed with PBE.

Structure (extended XYZ):
```
4
Lattice="7.6912 2.1381 -0.3853 4.9790 6.2399 0.3853 -5.6943 -5.1581 2.2009" Properties=species:S:1:pos:R:3 pbc="T T T"
Mn 0.2599 0.1718 0.0000
Mn 2.7929 -0.3235 0.9078
K 3.7127 3.2324 1.2931
Co 6.5456 4.3282 0.0000
```

The calculation puts the distance to the lowest polymorph of the same formula at 63 kJ/mol of formula units. Its density of states at the Fermi level is 3.34 states/eV/cell. As for the crystal system: orthorhombic. For the total magnetization, the calculation gives 9.07 μB/f.u. The value obtained for the total energy is -5.899 eV per atom.